A geometry-optimized Mn2ZnCd structure. Source: the Alexandria database, functional PBE.

Cell and atoms, written as CIF:
```
data_Mn2ZnCd
_chemical_formula_sum 'Mn2 Zn1 Cd1'
_cell_length_a 2.8605
_cell_length_b 2.8605
_cell_length_c 7.1685
_cell_angle_alpha 90.00
_cell_angle_beta 90.00
_cell_angle_gamma 90.00
_symmetry_space_group_name_H-M 'P 4 m m'
_symmetry_Int_Tables_number 99
loop_
_symmetry_equiv_pos_as_xyz
'x,y,z'
'-y,x,z'
'-x,-y,z'
'y,-x,z'
'-x,y,z'
'y,x,z'
'x,-y,z'
'-y,-x,z'
loop_
_atom_site_label
_atom_site_type_symbol
_atom_site_fract_x
_atom_site_fract_y
_atom_site_fract_z
Mn1 Mn 0.0000 0.0000 0.0000
Mn2 Mn 0.5000 0.5000 0.1808
Zn1 Zn 0.0000 0.0000 0.4129
Cd1 Cd 0.5000 0.5000 0.7170
```

***

A geometry-optimized MnZnCd2 structure. Source: the Alexandria database, functional PBE.

Cell and atoms, written as CIF:
```
data_MnZnCd2
_chemical_formula_sum 'Mn3 Zn3 Cd6'
_cell_length_a 3.0178
_cell_length_b 3.0178
_cell_length_c 28.3021
_cell_angle_alpha 90.00
_cell_angle_beta 90.00
_cell_angle_gamma 120.00
_symmetry_space_group_name_H-M 'R -3 m'
_symmetry_Int_Tables_number 166
_symmetry_space_group_name_Hall '-R 3 2"'
loop_
_atom_site_label
_atom_site_type_symbol
_atom_site_fract_x
_atom_site_fract_y
_atom_site_fract_z
Mn1 Mn 0.0000 0.0000 0.0000
Zn1 Zn 0.0000 0.0000 0.5000
Cd1 Cd 0.0000 0.0000 0.2517
```

***

no.,energy of formation (eV per formula unit),final energy (eV per cell)
1,0.5,-20.01
2,1.0,-33.75